DFT (PBE-GGA) results for a geometry-optimized PrLuTlHg structure.

a b c (Å): 5.388 5.388 5.388
angles (deg): 60.00 60.00 60.00
Fractional coordinates of all 4 atoms:
Hg (0.500, 0.500, 0.500)
Tl (0.000, 0.000, 0.000)
Lu (0.750, 0.750, 0.750)
Pr (0.250, 0.250, 0.250)

Computed properties:
Formation energy from the elements   -0.38 eV per atom
Total moment   0.09 μB/atom
Calculated density   10.82 g/cm3